The following is a GGA-PBE calculation of BaPr2Cd after structural relaxation, from Alexandria.

- M_tot (Bohr magnetons per cell) = 0.00
- formation energy from the elements (eV/atom) = 0.13

a = 12.705 Å, b = 12.705 Å, c = 12.705 Å
α = 16.98°, β = 16.98°, γ = 16.98°
Atoms (fractional coordinates):
Ba 0.000 0.000 0.000
Pr 0.100 0.100 0.100
Pr 0.900 0.900 0.900
Cd 0.500 0.500 0.500